Sc3CoAg: relaxed, GGA-PBE.

abc: 4.8041 4.8041 4.8041
angles: 90.00 90.00 90.00
Last column: nearest neighbours and their distance in Å.
Sites, in units of the cell vectors:
Sc 0.0000 0.0000 0.5000  2 Co 2.40
Sc 0.0000 0.5000 0.0000  2 Co 2.40
Sc 0.5000 0.0000 0.0000  2 Co 2.40
Co 0.0000 0.0000 0.0000  6 Sc 2.40
Ag 0.5000 0.5000 0.5000  12 Sc 3.40

Properties
Energy of formation = -66 meV/atom
ΔE to the lowest computed polymorph = 0.88 eV per formula unit